# 1
# Pu3Cd2Hg6, relaxed, DFT PBE
data_Pu3Cd2Hg6
_cell_length_a 5.4497
_cell_length_b 5.4497
_cell_length_c 22.2617
_cell_angle_alpha 90.00
_cell_angle_beta 90.00
_cell_angle_gamma 90.00
_space_group_name_H-M_alt 'I 4/m m m'
_space_group_IT_number 139
_space_group_name_Hall '-I 4 2'
loop_
_atom_site_label
_atom_site_type_symbol
_atom_site_fract_x
_atom_site_fract_y
_atom_site_fract_z
Pu1 Pu 0.0000 0.0000 0.0000
Pu2 Pu 0.0000 0.0000 0.4386
Cd1 Cd 0.0000 0.0000 0.1704
Hg1 Hg 0.0000 0.0000 0.2961
Hg2 Hg 0.0000 0.5000 0.1195
# Energy of formation (eV/f.u.): 2.184
# V (Å³/f.u.): 330.6

=====

# 2
# HfS2Cl4, relaxed, DFT PBE
data_HfS2Cl4
_cell_length_a 20.5410
_cell_length_b 3.6282
_cell_length_c 6.4627
_cell_angle_alpha 90.00
_cell_angle_beta 99.08
_cell_angle_gamma 90.00
_space_group_name_H-M_alt 'C 1 2/m 1'
_space_group_IT_number 12
_space_group_name_Hall '-C 2y'
loop_
_atom_site_label
_atom_site_type_symbol
_atom_site_fract_x
_atom_site_fract_y
_atom_site_fract_z
Hf1 Hf 0.0000 0.0000 0.0000
S1 S 0.2494 0.0000 0.4148
Cl1 Cl 0.0533 0.5000 0.2412
Cl2 Cl 0.0920 0.0000 0.8212
# V (Å³/f.u.): 237.8
# Formation energy from raw total energies (eV/atom): -1.145

=====

The lowest V belongs to which entry? HfS2Cl4

=====

What is the formula in the second record? HfS2Cl4